Density functional theory data (PBE) for a relaxed structure of K2TaMo.

Properties
The total energy is -5.445 eV/atom.

Cell and atoms, written as CIF:
```
data_K2TaMo
_cell_length_a 3.420
_cell_length_b 3.433
_cell_length_c 10.967
_cell_angle_alpha 90.00
_cell_angle_beta 90.72
_cell_angle_gamma 90.00
_space_group_name_H-M_alt 'P 1 m 1'
_space_group_IT_number 6
loop_
_space_group_symop_operation_xyz
'x,y,z'
'x,-y,z'
loop_
_atom_site_label
_atom_site_fract_x
_atom_site_fract_y
_atom_site_fract_z
K1 0.000 0.000 0.000
K2 0.473 0.500 0.391
Ta1 0.984 0.000 0.657
Mo1 0.488 0.500 0.753
```



Density functional theory data (PBE) for a relaxed structure of YIn2Co.

Properties
The total energy is -4.838 eV/atom.

Cell and atoms, written as CIF:
```
data_YIn2Co
_cell_length_a 4.300
_cell_length_b 4.300
_cell_length_c 4.620
_cell_angle_alpha 90.00
_cell_angle_beta 90.00
_cell_angle_gamma 90.00
_space_group_name_H-M_alt 'P 4/m m m'
_space_group_IT_number 123
_space_group_name_Hall '-P 4 2'
loop_
_atom_site_label
_atom_site_fract_x
_atom_site_fract_y
_atom_site_fract_z
Y1 0.000 0.000 0.000
In1 0.000 0.500 0.500
Co1 0.500 0.500 0.000
```



Q: Number 1 is which compound?
A: K2TaMo